Li5In3Sn3 | GGA-PBE | relaxed

It has space group P1 (No. 1), with a = 4.613 Å, b = 7.886 Å, c = 8.065 Å, α = 114.85°, β = 105.48° and γ = 95.10°. The inequivalent atoms are Li at (0.000, 0.000, 0.000), Li at (0.155, 0.884, 0.328), Li at (0.329, 0.335, 0.657), Li at (0.497, 0.289, 0.024), Li at (0.802, 0.593, 0.616), In at (0.519, 0.753, 0.016), In at (0.644, 0.161, 0.324), In at (0.848, 0.078, 0.659), Sn at (0.174, 0.425, 0.327), Sn at (0.336, 0.850, 0.684) and Sn at (0.970, 0.494, 0.969).

As for the total magnetic moment: 0.00 μB/atom. The calculation puts the formation energy at -0.22 eV per atom.